# La4Ce3DyS8 | Alexandria via LeMat-Bulk | PBE-GGA | relaxed
# Space group: No. 166
# Formation energy from raw total energies (meV per atom): -2096
data_La4Ce3DyS8
_chemical_formula_sum 'La4 Ce3 Dy1 S8'
_cell_length_a 8.143
_cell_length_b 8.162
_cell_length_c 8.143
_cell_angle_alpha 119.93
_cell_angle_beta 120.00
_cell_angle_gamma 90.00
_space_group_name_H-M_alt 'P 1'
_space_group_IT_number 1
_space_group_name_Hall 'P 1'
loop_
_atom_site_label
_atom_site_type_symbol
_atom_site_fract_x
_atom_site_fract_y
_atom_site_fract_z
Dy1 Dy 0.000 0.500 0.000
S1 S 0.751 0.737 0.994
S2 S 0.249 0.263 0.006
S3 S 0.747 0.741 0.494
S4 S 0.253 0.259 0.506
S5 S 0.243 0.737 0.486
S6 S 0.757 0.263 0.006
S7 S 0.757 0.263 0.514
S8 S 0.243 0.737 0.994
Ce1 Ce 0.500 0.500 0.000
Ce2 Ce 0.000 0.500 0.500
Ce3 Ce 0.500 0.500 0.500
La1 La 0.500 0.000 0.000
La2 La 0.000 0.000 0.000
La3 La 0.500 0.000 0.500
La4 La 0.000 0.000 0.500